(1)
# ThPd6Au3 PBE-GGA optimized geometry
data_ThPd6Au3
_cell_length_a 7.736
_cell_length_b 4.749
_cell_length_c 10.246
_cell_angle_alpha 90.00
_cell_angle_beta 110.82
_cell_angle_gamma 90.00
_symmetry_space_group_name_H-M 'P 1 21/m 1'
_symmetry_Int_Tables_number 11
_symmetry_space_group_name_Hall '-P 2yb'
loop_
_atom_site_label
_atom_site_type_symbol
_atom_site_fract_x
_atom_site_fract_y
_atom_site_fract_z
Th1 Th 0.213 0.250 0.138
Pd1 Pd 0.008 0.250 0.828
Pd2 Pd 0.194 0.250 0.629
Pd3 Pd 0.202 0.750 0.957
Pd4 Pd 0.395 0.250 0.433
Pd5 Pd 0.399 0.750 0.763
Pd6 Pd 0.408 0.750 0.276
Au1 Au 0.004 0.750 0.660
Au2 Au 0.213 0.750 0.468
Au3 Au 0.406 0.250 0.918
# Calculated formation energy ... -430.1 meV/atom

(2)
# Th4Pd12Au PBE-GGA optimized geometry
data_Th4Pd12Au
_cell_length_a 8.690
_cell_length_b 8.690
_cell_length_c 8.690
_cell_angle_alpha 90.00
_cell_angle_beta 90.00
_cell_angle_gamma 90.00
_symmetry_space_group_name_H-M 'I m -3 m'
_symmetry_Int_Tables_number 229
_symmetry_space_group_name_Hall '-I 4 2 3'
loop_
_atom_site_label
_atom_site_type_symbol
_atom_site_fract_x
_atom_site_fract_y
_atom_site_fract_z
Th1 Th 0.250 0.250 0.250
Pd1 Pd 0.000 0.000 0.304
Pd2 Pd 0.000 0.250 0.500
Au1 Au 0.000 0.000 0.000
# Calculated formation energy ... -777.1 meV/atom